# Ho2AgO4 PBE relaxed
data_Ho2AgO4
_symmetry_space_group_name_H-M 'P 1'
_symmetry_Int_Tables_number 1
_cell_length_a 6.739
_cell_length_b 6.739
_cell_length_c 6.739
_cell_angle_alpha 119.99
_cell_angle_beta 90.02
_cell_angle_gamma 119.99
loop_
_symmetry_equiv_pos_as_xyz
'x,y,z'
loop_
_atom_site_label
_atom_site_type_symbol
_atom_site_fract_x
_atom_site_fract_y
_atom_site_fract_z
_atom_site_occupancy
O1 O 0.582 0.721 0.861 1
Ho1 Ho 0.875 0.250 0.625 1
Ho2 Ho 0.375 0.750 0.625 1
O2 O 0.611 0.779 0.389 1
Ho3 Ho 0.375 0.250 0.625 1
Ag1 Ag 0.750 0.500 0.250 1
O3 O 0.611 0.221 0.832 1
Ho4 Ho 0.375 0.750 0.125 1
O4 O 0.611 0.221 0.389 1
O5 O 0.168 0.779 0.389 1
O6 O 0.139 0.721 0.861 1
Ag2 Ag 0.000 0.000 0.000 1
O7 O 0.139 0.279 0.418 1
O8 O 0.139 0.279 0.861 1
# E: -6.9386 eV per atom
# Space group: No. 227
# Total magnetization: 1.00 μB per formula unit